(1)
VASP calculation (PBE) on crystalline TbPmSiGe at its relaxed geometry.

The offset from the most stable computed form is 0.000 eV/atom. The total energy comes out at -45.43 eV/cell. For the raw formation energy, the calculation gives -823.9 meV/atom.

The structure belongs to space group Amm2 (No. 38); the cell edges are 3.9523, 4.3761 and 10.8130 Å and the angles 90.00°, 90.00° and 90.00°. The distinct sites, in fractional coordinates, are Tb at (0.0000, 0.0000, 0.0000), Pm at (0.5000, 0.0000, 0.2783), Si at (0.5000, 0.0000, 0.5577) and Ge at (0.0000, 0.0000, 0.7155).

(2)
VASP calculation (PBE) on crystalline Cs2LiAcF6 at its relaxed geometry.

The total energy comes out at -207.21 eV/cell. For the raw formation energy, the calculation gives -3284.6 meV/atom.

The structure belongs to space group Fm-3m (No. 225); the cell edges are 9.2379, 9.2379 and 9.2379 Å and the angles 90.00°, 90.00° and 90.00°. The distinct sites, in fractional coordinates, are Cs at (0.2500, 0.2500, 0.2500), Li at (0.0000, 0.0000, 0.0000), Ac at (0.0000, 0.0000, 0.5000) and F at (0.0000, 0.0000, 0.2390).

(3)
VASP calculation (PBE) on crystalline Pm2PbO at its relaxed geometry.

The offset from the most stable computed form is 0.591 eV/atom. The total energy comes out at -22.85 eV/cell. For the raw formation energy, the calculation gives -1169.6 meV/atom.

The structure belongs to space group P4/mmm (No. 123); the cell edges are 3.2615, 3.2615 and 8.0336 Å and the angles 90.00°, 90.00° and 90.00°. The distinct sites, in fractional coordinates, are Pm at (0.0000, 0.0000, 0.1948), Pb at (0.5000, 0.5000, 0.5000) and O at (0.5000, 0.5000, 0.0000).

Question: What is the formula in the second record?
Answer: Cs2LiAcF6

Question: The highest raw formation energy belongs to which entry?
Answer: TbPmSiGe

Question: The highest raw formation energy belongs to which entry?
Answer: TbPmSiGe